[1]
# Co3NiPb

Crystalline Co3NiPb at its relaxed geometry (PBE, Alexandria).

abc: 4.7462 4.7462 4.7462
angles: 90.00 90.00 90.00
Site moments in Bohr magnetons follow the coordinates.
Atoms (fractional coordinates):
Pb (0.0000, 0.0000, 0.0000)  -0.07
Ni (0.5000, 0.5000, 0.5000)  0.85
Co (0.0000, 0.5000, 0.0000)  1.46
Co (0.0000, 0.0000, 0.5000)  1.60
Co (0.5000, 0.0000, 0.0000)  1.67

As for the space-group type: Pm-3m (221). For the total energy, the calculation gives -4.175 eV per atom. The volume comes out at 106.9 Å³ per cell. The formation energy comes out at 1987 meV per atom. For the density of states at the Fermi level, the calculation gives 12.3 states/eV per cell. Its distance to the lowest polymorph of the same formula is 1088 meV/atom.


[2]
# NaAcCu2

Crystalline NaAcCu2 at its relaxed geometry (PBE, Alexandria).

abc: 3.6171 5.1810 5.1810
angles: 90.00 90.00 90.00
Atoms (fractional coordinates):
Na (0.5000, 0.5000, 0.5000)
Ac (0.5000, 0.0000, 0.0000)
Cu (0.0000, 0.0000, 0.5000)
Cu (0.0000, 0.5000, 0.0000)

As for the space-group type: P4/mmm (123). For the total energy, the calculation gives -3.255 eV per atom. The volume comes out at 97.1 Å³ per cell. The formation energy comes out at 150 meV per atom. For the density of states at the Fermi level, the calculation gives 2.5 states/eV per cell.


[3]
# Si2TcAs

Crystalline Si2TcAs at its relaxed geometry (PBE, Alexandria).

abc: 3.0012 2.9465 9.2886
angles: 50.60 90.00 90.00
Atoms (fractional coordinates):
As (0.5000, 0.7500, 0.7500)
Si (0.0000, 0.1399, 0.0554)
Si (0.0000, 0.3601, 0.4446)
Tc (0.5000, 0.2500, 0.2500)

As for the space-group type: Pmmm (47). The value obtained for the formation energy (no corrections) is -0.2 eV/f.u. For the total energy, the calculation gives -6.513 eV per atom. The volume comes out at 63.5 Å³ per cell. For the density of states at the Fermi level, the calculation gives 1.6 states/eV per cell.


[4]
# Ba3ScIr2O9

Crystalline Ba3ScIr2O9 at its relaxed geometry (PBE, Alexandria).

abc: 5.8010 5.8010 7.1025
angles: 90.00 90.00 120.00
Site moments in Bohr magnetons follow the coordinates.
Atoms (fractional coordinates):
Ba (0.3333, 0.6667, 0.6672)  0.01
Ba (0.0000, 0.0000, 0.0000)  0.01
Ba (0.6667, 0.3333, 0.3328)  0.01
Sc (0.0000, 0.0000, 0.5000)  -0.01
Ir (0.3333, 0.6667, 0.1649)  0.87
Ir (0.6667, 0.3333, 0.8351)  0.87
O (0.8283, 0.1717, 0.6723)  0.08
O (0.8283, 0.6565, 0.6723)  0.08
O (0.3435, 0.1717, 0.6723)  0.08
O (0.6565, 0.8283, 0.3277)  0.08
O (0.1717, 0.3435, 0.3277)  0.08
O (0.1717, 0.8283, 0.3277)  0.08
O (0.5000, 0.0000, 0.0000)  0.19
O (0.0000, 0.5000, 0.0000)  0.19
O (0.5000, 0.5000, 0.0000)  0.19

As for the space-group type: P-3m1 (164). The value obtained for the formation energy (no corrections) is -31.1 eV/f.u. For the total energy, the calculation gives -7.037 eV per atom. The volume comes out at 207.0 Å³ per cell. For the density of states at the Fermi level, the calculation gives 5.0 states/eV per cell.